The following is a DFT calculation (PBE-GGA) of an optimized crystal structure of AgPbS2N.

Values from the calculation:
Uncorrected energy ... -3.80 eV per atom
Raw formation energy ... 0.827 eV/atom
Crystal system ... tetragonal

Lattice parameters (Å, degrees): 5.1922 5.1922 4.0945 90.00 90.00 90.00
Last column: nearest neighbours and their distance in Å.
Sites, in units of the cell vectors:
S: 0.0000 0.5000 0.0000  2 Ag 2.60
S: 0.5000 0.0000 0.0000  2 Ag 2.60
N: 0.0000 0.0000 0.5000  2 Ag 2.05
Pb: 0.5000 0.5000 0.5000  8 S 3.31, 4 N 3.67
Ag: 0.0000 0.0000 0.0000  2 N 2.05

---

The following is a DFT calculation (PBE-GGA) of an optimized crystal structure of AgPbS2N.

Values from the calculation:
Uncorrected energy ... -3.46 eV per atom
Raw formation energy ... 1.169 eV/atom
Crystal system ... tetragonal

Lattice parameters (Å, degrees): 5.3042 5.3042 4.4625 90.00 90.00 90.00
Last column: nearest neighbours and their distance in Å.
Sites, in units of the cell vectors:
Ag: 0.5000 0.5000 0.5000  8 S 3.47, 4 N 3.75
N: 0.0000 0.0000 0.5000  2 Pb 2.23
S: 0.5000 0.0000 0.0000  2 Pb 2.65
Pb: 0.0000 0.0000 0.0000  2 N 2.23
S: 0.0000 0.5000 0.0000  2 Pb 2.65

---

The following is a DFT calculation (PBE-GGA) of an optimized crystal structure of Sr2AgPbN.

Values from the calculation:
Uncorrected energy ... -3.89 eV per atom
Raw formation energy ... -0.243 eV/atom
Crystal system ... tetragonal

Lattice parameters (Å, degrees): 5.3692 5.3692 4.3931 90.00 90.00 90.00
Last column: nearest neighbours and their distance in Å.
Sites, in units of the cell vectors:
Pb: 0.5000 0.5000 0.5000  8 Sr 3.47, 4 Ag 3.80
N: 0.0000 0.0000 0.0000  2 Ag 2.20
Sr: 0.0000 0.5000 0.0000  2 N 2.68
Sr: 0.5000 0.0000 0.0000  2 N 2.68
Ag: 0.0000 0.0000 0.5000  2 N 2.20

---

The following is a DFT calculation (PBE-GGA) of an optimized crystal structure of ZrAg2PbN.

Values from the calculation:
Uncorrected energy ... -3.89 eV per atom
Raw formation energy ... 1.369 eV/atom
Crystal system ... tetragonal

Lattice parameters (Å, degrees): 5.2927 4.2186 5.2927 90.00 90.00 90.00
Last column: nearest neighbours and their distance in Å.
Sites, in units of the cell vectors:
Ag: 0.0000 0.0000 0.5000  2 Pb 2.65
Ag: 0.5000 0.0000 0.0000  2 Pb 2.65
Zr: 0.5000 0.5000 0.5000  8 Ag 3.38, 4 N 3.74
Pb: 0.0000 0.0000 0.0000  2 N 2.11
N: 0.0000 0.5000 0.0000  2 Pb 2.11

---

The following is a DFT calculation (PBE-GGA) of an optimized crystal structure of Ag3PdN.

Values from the calculation:
Uncorrected energy ... -3.87 eV per atom
Raw formation energy ... 0.548 eV/atom
Crystal system ... cubic

Lattice parameters (Å, degrees): 4.3038 4.3038 4.3038 90.00 90.00 90.00
Last column: nearest neighbours and their distance in Å.
Sites, in units of the cell vectors:
Ag: 0.5000 0.0000 0.0000  2 N 2.15
N: 0.0000 0.0000 0.0000  6 Ag 2.15
Ag: 0.0000 0.0000 0.5000  2 N 2.15
Pd: 0.5000 0.5000 0.5000  12 Ag 3.04
Ag: 0.0000 0.5000 0.0000  2 N 2.15

---

The following is a DFT calculation (PBE-GGA) of an optimized crystal structure of AgPdN3.

Values from the calculation:
Uncorrected energy ... -3.91 eV per atom
Raw formation energy ... 2.694 eV/atom
Crystal system ... cubic

Lattice parameters (Å, degrees): 4.0378 4.0378 4.0378 90.00 90.00 90.00
Last column: nearest neighbours and their distance in Å.
Sites, in units of the cell vectors:
N: 0.0000 0.5000 0.0000  2 Ag 2.02
Pd: 0.5000 0.5000 0.5000  12 N 2.86
N: 0.5000 0.0000 0.0000  2 Ag 2.02
Ag: 0.0000 0.0000 0.0000  6 N 2.02
N: 0.0000 0.0000 0.5000  2 Ag 2.02

---

The following is a DFT calculation (PBE-GGA) of an optimized crystal structure of AgPdN2.

Values from the calculation:
Uncorrected energy ... -5.11 eV per atom
Raw formation energy ... 1.066 eV/atom
Crystal system ... trigonal

Lattice parameters (Å, degrees): 6.5183 6.5183 6.5183 27.55 27.55 27.55
Last column: nearest neighbours and their distance in Å.
Sites, in units of the cell vectors:
N: 0.1102 0.1102 0.1102  1 Ag 2.07, 3 Pd 2.08
Ag: 0.0000 0.0000 0.0000  2 N 2.07
N: 0.8898 0.8898 0.8898  1 Ag 2.07, 3 Pd 2.08
Pd: 0.5000 0.5000 0.5000  6 N 2.08

---

The following is a DFT calculation (PBE-GGA) of an optimized crystal structure of AgPdN3.

Values from the calculation:
Uncorrected energy ... -4.51 eV per atom
Raw formation energy ... 2.090 eV/atom
Crystal system ... cubic

Lattice parameters (Å, degrees): 4.0219 4.0219 4.0219 90.00 90.00 90.00
Last column: nearest neighbours and their distance in Å.
Sites, in units of the cell vectors:
N: 0.5000 0.0000 0.0000  2 Pd 2.01
N: 0.0000 0.5000 0.0000  2 Pd 2.01
Pd: 0.0000 0.0000 0.0000  6 N 2.01
N: 0.0000 0.0000 0.5000  2 Pd 2.01
Ag: 0.5000 0.5000 0.5000  12 N 2.84

---

The following is a DFT calculation (PBE-GGA) of an optimized crystal structure of Ag3PdN.

Values from the calculation:
Uncorrected energy ... -2.71 eV per atom
Raw formation energy ... 1.703 eV/atom
Crystal system ... cubic

Lattice parameters (Å, degrees): 5.1591 5.1591 5.1591 90.00 90.00 90.00
Last column: nearest neighbours and their distance in Å.
Sites, in units of the cell vectors:
Ag: 0.5000 0.0000 0.0000  2 Pd 2.58
N: 0.5000 0.5000 0.5000  12 Ag 3.65
Ag: 0.0000 0.0000 0.5000  2 Pd 2.58
Ag: 0.0000 0.5000 0.0000  2 Pd 2.58
Pd: 0.0000 0.0000 0.0000  6 Ag 2.58

---

The following is a DFT calculation (PBE-GGA) of an optimized crystal structure of AgPdN2.

Values from the calculation:
Uncorrected energy ... -4.86 eV per atom
Raw formation energy ... 1.314 eV/atom
Crystal system ... tetragonal

Lattice parameters (Å, degrees): 4.8775 4.8775 5.9412 65.77 65.77 90.00
Last column: nearest neighbours and their distance in Å.
Sites, in units of the cell vectors:
Pd: 0.2500 0.7500 0.5000  4 N 2.00
N: 0.3750 0.4165 0.7500  2 Pd 2.00, 2 Ag 2.23
N: 0.8750 0.8335 0.7500  2 Pd 2.00, 2 Ag 2.23
Ag: 0.0000 0.0000 0.0000  4 N 2.23
Ag: 0.7500 0.2500 0.5000  4 N 2.23
Pd: 0.5000 0.5000 0.0000  4 N 2.00
N: 0.1665 0.6250 0.2500  2 Pd 2.00, 2 Ag 2.23
N: 0.5835 0.1250 0.2500  2 Pd 2.00, 2 Ag 2.23

---

The following is a DFT calculation (PBE-GGA) of an optimized crystal structure of AgPdN2.

Values from the calculation:
Uncorrected energy ... -4.52 eV per atom
Raw formation energy ... 1.653 eV/atom
Crystal system ... cubic

Lattice parameters (Å, degrees): 3.9896 3.9896 3.9896 60.00 60.00 60.00
Last column: nearest neighbours and their distance in Å.
Sites, in units of the cell vectors:
N: 0.7500 0.7500 0.7500  4 Pd 2.44, 4 Ag 2.44
Ag: 0.5000 0.5000 0.5000  8 N 2.44
N: 0.2500 0.2500 0.2500  4 Pd 2.44, 4 Ag 2.44
Pd: 0.0000 0.0000 0.0000  8 N 2.44

---

The following is a DFT calculation (PBE-GGA) of an optimized crystal structure of Ag2PdPtN.

Values from the calculation:
Uncorrected energy ... -4.03 eV per atom
Raw formation energy ... 1.018 eV/atom
Crystal system ... tetragonal

Lattice parameters (Å, degrees): 5.1590 3.5919 5.1590 90.00 90.00 90.00
Last column: nearest neighbours and their distance in Å.
Sites, in units of the cell vectors:
Ag: 0.0000 0.0000 0.5000  2 Pd 2.58
Pd: 0.0000 0.0000 0.0000  2 N 1.80
Pt: 0.5000 0.5000 0.5000  8 Ag 3.14
Ag: 0.5000 0.0000 0.0000  2 Pd 2.58
N: 0.0000 0.5000 0.0000  2 Pd 1.80